Record 1
TaNiMo: optimized geometry, PBE.

Cell: 9.504 8.872 4.917 Å, 81.72 67.48 30.80°
Sites, in units of the cell vectors:
Ta (0.047, 0.703, 0.047)
Ta (0.297, 0.953, 0.297)
Ta (0.703, 0.047, 0.703)
Ta (0.953, 0.297, 0.953)
Ni (0.002, 0.002, 0.248)
Ni (0.248, 0.248, 0.002)
Ni (0.752, 0.752, 0.998)
Ni (0.998, 0.998, 0.752)
Mo (0.300, 0.300, 0.450)
Mo (0.450, 0.450, 0.300)
Mo (0.550, 0.550, 0.700)
Mo (0.700, 0.700, 0.550)

Results
Its space group is Fddd. The crystal system is orthorhombic. As for the formation enthalpy at 0 K: -0.0928 eV per atom. The value obtained for the distance to the lowest polymorph of the same formula is 0.000 eV per atom.

---

Record 2
LiAg4Se: optimized geometry, PBE.

Cell: 5.543 5.543 5.543 Å, 60.00 60.00 60.00°
Sites, in units of the cell vectors:
Li (0.000, 0.000, 0.000)
Ag (0.374, 0.374, 0.374)
Ag (0.374, 0.374, 0.877)
Ag (0.374, 0.877, 0.374)
Ag (0.877, 0.374, 0.374)
Se (0.750, 0.750, 0.750)

Results
Its space group is F-43m. The crystal system is cubic. As for the formation energy from raw total energies: -0.09 eV per formula unit.

---

Record 3
FeSi2Se: optimized geometry, PBE.

Cell: 7.051 7.051 7.051 Å, 25.99 25.99 25.99°
Sites, in units of the cell vectors:
Fe (0.000, 0.000, 0.000)
Si (0.259, 0.259, 0.259)
Si (0.741, 0.741, 0.741)
Se (0.500, 0.500, 0.500)

Results
Its space group is R-3m. The crystal system is trigonal. As for the formation energy from raw total energies: 0.67 eV per formula unit.